# Re2Tc meta-GGA SCAN single point on PBEsol structure
# - polymorph energy (0 for the lowest one) (meV/atom) = 49
# - formation enthalpy at 0 K (eV per atom) = 0.041
# - total DFT energy (no corrections) (eV/atom) = -59.044
data_Re2Tc
_cell_length_a 3.866
_cell_length_b 3.866
_cell_length_c 23.197
_cell_angle_alpha 90.00
_cell_angle_beta 90.00
_cell_angle_gamma 90.00
_symmetry_space_group_name_H-M 'I 41/a m d'
_symmetry_Int_Tables_number 141
loop_
_symmetry_equiv_pos_as_xyz
'x,y,z'
'-x,-y,-z'
'-y+1/4,x+3/4,z+1/4'
'y+1/4,-x+3/4,-z+1/4'
'-x+1/2,-y,z+1/2'
'x+1/2,y,-z+1/2'
'y+1/4,-x+1/4,z+3/4'
'-y+1/4,x+1/4,-z+3/4'
'x,-y,-z'
'-x,y,z'
'-y+1/4,-x+1/4,-z+3/4'
'y+1/4,x+1/4,z+3/4'
'-x+1/2,y,-z+1/2'
'x+1/2,-y,z+1/2'
'y+1/4,x+3/4,-z+1/4'
'-y+1/4,-x+3/4,z+1/4'
'x+1/2,y+1/2,z+1/2'
'-x+1/2,-y+1/2,-z+1/2'
'-y+3/4,x+1/4,z+3/4'
'y+3/4,-x+1/4,-z+3/4'
'-x,-y+1/2,z'
'x,y+1/2,-z'
'y+3/4,-x+3/4,z+1/4'
'-y+3/4,x+3/4,-z+1/4'
'x+1/2,-y+1/2,-z+1/2'
'-x+1/2,y+1/2,z+1/2'
'-y+3/4,-x+3/4,-z+1/4'
'y+3/4,x+3/4,z+1/4'
'-x,y+1/2,-z'
'x,-y+1/2,z'
'y+3/4,x+1/4,-z+3/4'
'-y+3/4,-x+1/4,z+3/4'
loop_
_atom_site_label
_atom_site_fract_x
_atom_site_fract_y
_atom_site_fract_z
Re1 0.000 0.250 0.125
Re2 0.000 0.250 0.291
Tc1 0.000 0.250 0.791